DFT (SCAN) results for a crystal of Cr2Tc relaxed with PBEsol.

a = 2.550 Å, b = 4.070 Å, c = 4.070 Å
α = 120.00°, β = 90.00°, γ = 90.00°
Positions (direct):
Cr 0.654 0.667 0.333
Cr 0.346 0.333 0.667
Tc 0.000 0.000 0.000

- SG = P-3m1 (164)
- polymorph energy (0 for the lowest one) (eV per formula unit) = 0.118


DFT (SCAN) results for a crystal of Tb3P6Pd20 relaxed with PBEsol.

a = 8.545 Å, b = 8.545 Å, c = 8.545 Å
α = 60.00°, β = 60.00°, γ = 60.00°
Positions (direct):
Tb 0.250 0.250 0.250
Tb 0.750 0.750 0.750
Tb 0.000 0.000 0.000
P 0.737 0.263 0.263
P 0.263 0.737 0.737
P 0.737 0.263 0.737
P 0.263 0.737 0.263
P 0.737 0.737 0.263
P 0.263 0.263 0.737
Pd 0.846 0.385 0.385
Pd 0.154 0.615 0.615
Pd 0.385 0.846 0.385
Pd 0.385 0.385 0.846
Pd 0.615 0.154 0.615
Pd 0.615 0.615 0.154
Pd 0.385 0.385 0.385
Pd 0.615 0.615 0.615
Pd 0.654 0.000 0.000
Pd 0.346 0.000 0.000
Pd 0.000 0.654 0.346
Pd 0.000 0.346 0.654
Pd 0.654 0.000 0.346
Pd 0.000 0.346 0.000
Pd 0.346 0.000 0.654
Pd 0.000 0.654 0.000
Pd 0.654 0.346 0.000
Pd 0.346 0.654 0.000
Pd 0.000 0.000 0.346
Pd 0.000 0.000 0.654

- SG = Fm-3m (225)
- DFT total energy (eV per cell) = -881.11


| no. | magnetic moment (μB per cell) |
| --- | --- |
| 1 | 0.00 |
| 2 | 0.00 |